# Li2CoNiO4

Li2CoNiO4 after structural relaxation (GGA+U, Alexandria via LeMat-Bulk).

a b c (Å): 5.7821 5.7821 5.7821
angles (deg): 120.84 120.36 88.96
Closest atoms and distances in Å follow each position.
Sites, in units of the cell vectors:
Li1 0.5000 0.0000 0.0000  6 O 2.12-2.21
Li2 0.5000 0.5000 0.0000  6 O 2.06-2.10
Li3 0.5000 0.5000 0.5000  6 O 2.12-2.21
Li4 0.0000 0.5000 0.5000  6 O 2.06-2.10
O1 0.7722 0.2503 0.5220  2 Co 1.94, 3 Li 2.06-2.12, 1 Ni 2.07
O2 0.7676 0.7833 0.5157  1 Co 1.92, 2 Ni 1.97, 2 Li 2.10
O3 0.2278 0.7497 0.4780  2 Co 1.94, 3 Li 2.06-2.12, 1 Ni 2.07
O4 0.7676 0.2519 0.9843  1 Co 1.92, 2 Ni 1.97, 2 Li 2.10
O5 0.2324 0.7481 0.0157  1 Co 1.92, 2 Ni 1.97, 2 Li 2.10
O6 0.7717 0.7497 0.0220  2 Co 1.94, 3 Li 2.06-2.12, 1 Ni 2.07
O7 0.2283 0.2503 0.9780  2 Co 1.94, 3 Li 2.06-2.12, 1 Ni 2.07
O8 0.2324 0.2167 0.4843  1 Co 1.92, 2 Ni 1.97, 2 Li 2.10
Co1 0.0000 0.5000 0.0000  6 O 1.92-1.94
Co2 0.0000 0.0000 0.5000  6 O 1.92-1.94
Ni1 0.0000 0.0000 0.0000  6 O 1.97-2.07
Ni2 0.5000 0.0000 0.5000  6 O 1.97-2.07

Calculated values
- relative energy among the computed polymorphs (eV/atom) = 0.000
- space-group type = Imma (74)
- calculated total energy (eV/cell) = -84.440
- total magnetization (μB/f.u.) = 1.00
- density of states at the Fermi level (states/eV per atom) = 0.34